Entry 1:
7
Lattice="-0.048 -2.593 2.465 4.741 3.833 1.528 -8.068 2.663 2.645" Properties=species:S:1:pos:R:3 comment="Ho3Er2Ni2 PBE relaxed" energy_ev_per_atom=-5.19 spacegroup="C2/m, No. 12" formation_energy_ev_per_atom=-0.268 dos_ef_per_ev_cell=9.39 pbc="T T T"
Ho -0.024 -1.296 1.232
Ho -2.438 0.443 3.016
Ho -0.935 3.460 3.622
Er 1.597 0.895 3.569
Er -4.971 3.008 3.069
Ni -3.098 2.385 5.045
Ni -0.276 1.519 1.592

Entry 2:
11
Lattice="3.751 0.000 0.000 0.000 8.870 0.000 -1.876 -4.435 7.515" Properties=species:S:1:pos:R:3 comment="Ho4Er3Ni4 PBE relaxed" energy_ev_per_atom=-5.26 spacegroup="Immm, No. 71" formation_energy_ev_per_atom=-0.246 dos_ef_per_ev_cell=11.80 pbc="T T T"
Ho 0.000 -1.651 5.102
Ho 1.876 2.784 2.414
Ho 1.876 6.086 2.414
Ho 0.000 1.651 5.102
Er 0.000 0.000 1.644
Er 1.876 4.435 5.871
Er 0.000 4.435 0.000
Ni 0.000 4.435 3.620
Ni 1.876 0.000 3.895
Ni 1.876 7.501 0.000
Ni 1.876 1.370 0.000

Entry 3:
16
Lattice="-0.429 -2.974 -1.986 6.419 1.841 -0.878 4.879 -10.216 14.242" Properties=species:S:1:pos:R:3 comment="Ho3Er3Ni2 PBE relaxed" energy_ev_per_atom=-5.04 spacegroup="Cmcm, No. 63" formation_energy_ev_per_atom=-0.169 dos_ef_per_ev_cell=20.01 pbc="T T T"
Ho 4.107 -5.830 4.576
Ho 8.591 -9.346 12.138
Ho 2.279 -2.002 -0.760
Ho 6.763 -5.518 6.801
Ho 6.799 -2.235 1.878
Ho 4.070 -9.113 9.499
Er 7.245 -5.417 3.279
Er 5.236 -9.304 12.800
Er 5.634 -2.044 -1.423
Er 3.625 -5.931 8.098
Er 3.838 -3.879 1.713
Er 7.032 -7.469 9.664
Ni 6.465 -10.138 10.517
Ni 5.485 -3.472 4.013
Ni 5.384 -7.876 7.364
Ni 4.405 -1.210 0.860

Entry 4:
12
Lattice="3.956 0.000 0.000 0.000 4.862 0.000 0.000 0.000 8.411" Properties=species:S:1:pos:R:3 comment="HoErNi10 PBE relaxed" energy_ev_per_atom=-5.91 spacegroup="Pmmm, No. 47" formation_energy_ev_per_atom=-0.335 dos_ef_per_ev_cell=13.75 pbc="T T T"
Ho 0.000 0.000 0.000
Er 0.000 2.431 4.206
Ni 0.000 0.000 2.809
Ni 0.000 2.431 7.005
Ni 0.000 2.431 1.406
Ni 0.000 0.000 5.603
Ni 1.978 0.000 4.206
Ni 1.978 2.431 0.000
Ni 1.978 1.217 2.106
Ni 1.978 3.646 6.305
Ni 1.978 3.646 2.106
Ni 1.978 1.217 6.305

Entry 5:
6
Lattice="3.369 0.007 0.001 -0.012 6.810 0.050 -1.682 -1.752 6.108" Properties=species:S:1:pos:R:3 comment="HoErNi PBE relaxed" energy_ev_per_atom=-5.24 spacegroup="C2/m, No. 12" formation_energy_ev_per_atom=-0.267 de_polymorph_ev_per_atom=0.001 dos_ef_per_ev_cell=4.88 pbc="T T T"
Ho 0.388 2.644 2.357
Ho 0.388 2.621 5.571
Er 0.395 -0.784 5.549
Er 0.382 6.049 2.379
Ni 2.075 0.906 3.951
Ni 2.069 4.367 3.978

Entry 6:
6
Lattice="-5.010 0.240 0.290 0.406 -4.284 3.426 0.808 2.242 4.958" Properties=species:S:1:pos:R:3 comment="HoErNi PBE relaxed" energy_ev_per_atom=-5.13 spacegroup="Cm, No. 8" formation_energy_ev_per_atom=-0.156 de_polymorph_ev_per_atom=0.112 dos_ef_per_ev_cell=5.28 pbc="T T T"
Ho -1.710 0.330 6.000
Ho -1.900 -2.754 5.276
Er -0.017 -0.664 2.833
Er -3.839 -1.660 8.082
Ni 0.737 -1.292 5.315
Ni -2.563 -0.680 3.571

Entry 7:
3
Lattice="4.703 0.000 0.000 2.352 4.073 0.000 2.352 1.358 3.840" Properties=species:S:1:pos:R:3 comment="HoErNi PBE relaxed" energy_ev_per_atom=-5.15 spacegroup="F-43m, No. 216" formation_energy_ev_per_atom=-0.181 de_polymorph_ev_per_atom=0.087 dos_ef_per_ev_cell=3.01 pbc="T T T"
Ni 2.352 1.358 0.960
Ho 4.703 2.716 1.920
Er 0.000 0.000 0.000

Entry 8:
18
Lattice="-0.791 -4.916 2.521 8.329 -0.632 1.380 -0.930 3.958 7.426" Properties=species:S:1:pos:R:3 comment="Ho4ErNi4 PBE relaxed" energy_ev_per_atom=-5.39 spacegroup="P4_2/n, No. 86" formation_energy_ev_per_atom=-0.280 dos_ef_per_ev_cell=13.81 pbc="T T T"
Ho 1.456 1.464 8.236
Ho 3.402 -1.562 9.124
Ho 5.313 -2.057 2.580
Ho 0.918 1.699 4.854
Ho 6.510 -0.823 7.867
Ho 6.321 0.630 4.463
Ho 2.575 -3.947 4.213
Ho -0.062 -1.764 3.971
Er 0.000 0.000 0.000
Er 3.304 -0.795 5.664
Ni 5.611 -2.056 5.350
Ni 0.815 -0.666 6.557
Ni 6.462 1.762 6.886
Ni 0.768 -1.087 9.053
Ni 5.232 -4.287 4.214
Ni 2.549 -1.227 3.163
Ni 4.241 0.768 7.584
Ni 0.755 0.432 2.501

Entry 9:
19
Lattice="-2.717 7.929 -1.244 -5.926 -4.396 4.166 7.139 0.144 4.562" Properties=species:S:1:pos:R:3 comment="Ho12ErNi6 PBE relaxed" energy_ev_per_atom=-5.21 spacegroup="Im-3, No. 204" formation_energy_ev_per_atom=-0.248 dos_ef_per_ev_cell=23.15 pbc="T T T"
Ho 4.231 2.025 3.861
Ho -2.461 0.313 2.517
Ho 0.956 3.363 4.968
Ho -5.735 1.652 3.624
Ho -2.959 -2.540 4.658
Ho -0.220 3.158 1.569
Ho -1.284 0.518 5.915
Ho 1.455 6.217 2.826
Ho -3.156 5.120 0.855
Ho 1.192 0.167 3.322
Ho -2.696 3.509 4.162
Ho 1.651 -1.443 6.629
Er 0.000 0.000 0.000
Ni 2.270 0.912 5.613
Ni -3.775 2.765 1.872
Ni -3.865 0.166 4.745
Ni 2.361 3.510 2.739
Ni -1.042 5.366 2.759
Ni -0.463 -1.689 4.726

Entry 10:
9
Lattice="3.529 0.000 0.325 0.000 9.012 0.000 -0.775 -4.506 8.408" Properties=species:S:1:pos:R:3 comment="Ho6Er2Ni PBE relaxed" energy_ev_per_atom=-4.59 spacegroup="Cmmm, No. 65" formation_energy_ev_per_atom=0.120 dos_ef_per_ev_cell=12.05 pbc="T T T"
Ho 3.275 1.534 3.083
Ho -0.521 -2.972 5.650
Ho -0.521 2.972 5.650
Ho 1.765 2.143 0.163
Ho 3.275 7.478 3.083
Ho 1.765 6.869 0.163
Er 1.495 4.506 3.087
Er 1.259 0.000 5.646
Ni 0.000 0.000 0.000

Entry 11:
10
Lattice="5.661 0.000 0.000 -2.830 5.660 -0.797 0.000 -0.310 7.063" Properties=species:S:1:pos:R:3 comment="Ho2ErNi2 PBE relaxed" energy_ev_per_atom=-5.40 spacegroup="C2/c, No. 15" formation_energy_ev_per_atom=-0.342 de_polymorph_ev_per_atom=0.000 dos_ef_per_ev_cell=9.68 pbc="T T T"
Ho 2.206 1.777 0.838
Ho -0.624 3.729 1.897
Ho 0.624 3.574 5.428
Ho 3.454 1.622 4.369
Er 5.136 -0.077 1.766
Er 0.524 -0.232 5.298
Ni 2.094 3.661 2.907
Ni -0.736 1.845 -0.173
Ni 0.736 1.690 3.359
Ni 3.566 3.506 6.439

Entry 12:
20
Lattice="7.001 0.000 0.000 0.000 8.268 -1.544 0.000 0.119 8.410" Properties=species:S:1:pos:R:3 comment="HoEr6Ni3 PBE relaxed" energy_ev_per_atom=-5.18 spacegroup="Cmc2_1, No. 36" formation_energy_ev_per_atom=-0.254 dos_ef_per_ev_cell=18.71 pbc="T T T"
Ho 0.334 2.728 5.223
Ho 3.834 5.659 1.643
Er 1.195 5.899 4.211
Er 4.696 5.292 4.951
Er 2.227 4.921 7.217
Er 5.727 8.046 3.400
Er 1.143 0.377 8.095
Er 3.562 1.964 6.156
Er 0.062 6.423 0.710
Er 4.644 8.010 -1.229
Er 2.227 0.341 3.467
Er 5.727 3.466 -0.350
Er 1.195 3.095 1.915
Er 4.696 2.488 2.656
Ni 3.182 7.620 4.464
Ni 6.682 5.880 6.589
Ni 2.652 3.521 4.255
Ni 6.152 4.866 2.612
Ni 6.682 0.767 2.403
Ni 3.182 2.507 0.278